[1]
Density functional theory data (PBE) for a relaxed YGe3Se crystal.

**Size of the total moment**: 0.0 μB/cell
**ΔE to the lowest computed polymorph**: 541 meV per atom
**ΔE_f (raw)**: 0.868 eV/atom
**Density of states at the Fermi level**: 5.02 states/eV per cell

a b c (Å): 5.4783 5.4783 5.4783
angles (deg): 90.00 90.00 90.00
Atoms (fractional coordinates):
Ge  0.5000  0.0000  0.0000
Ge  0.0000  0.0000  0.5000
Ge  0.0000  0.5000  0.0000
Se  0.5000  0.5000  0.5000
Y  0.0000  0.0000  0.0000


[2]
Density functional theory data (PBE) for a relaxed Y7GeSe5 crystal.

**Size of the total moment**: 0.0 μB/cell
**ΔE_f (raw)**: -1.526 eV/atom
**Density of states at the Fermi level**: 14.96 states/eV per cell

a b c (Å): 4.0634 6.9508 24.0889
angles (deg): 90.00 90.00 107.00
Atoms (fractional coordinates):
Y  0.6388  0.2776  0.4621
Se  0.7227  0.4454  0.5719
Y  0.6392  0.2784  0.0380
Y  0.9060  0.8121  0.3808
Y  0.4642  0.9283  0.2500
Y  0.1941  0.3881  0.1810
Y  0.9064  0.8127  0.1193
Se  0.4481  0.8963  0.6441
Se  0.0001  0.0002  0.5000
Se  0.5525  0.1050  0.1441
Se  0.5521  0.1043  0.3559
Y  0.0942  0.1884  0.6192
Y  0.8066  0.6131  0.6809
Se  0.2780  0.5559  0.0720
Se  0.2775  0.5550  0.4281
Se  0.7230  0.4461  0.9280
Y  0.3618  0.7236  0.9620
Se  0.0005  0.0010  0.0000
Y  0.1938  0.3875  0.3190
Y  0.5364  0.0728  0.7500
Se  0.4484  0.8968  0.8558
Ge  0.1926  0.3853  0.7500
Y  0.3614  0.7228  0.5379
Y  0.0945  0.1889  0.8808
Ge  0.8079  0.6158  0.2501
Y  0.8067  0.6134  0.8190


[3]
Density functional theory data (PBE) for a relaxed Y6GeSe5 crystal.

**Size of the total moment**: 0.0 μB/cell
**ΔE_f (raw)**: -1.692 eV/atom
**Density of states at the Fermi level**: 5.50 states/eV per cell

a b c (Å): 7.1331 7.1107 7.1046
angles (deg): 59.97 80.48 70.69
Atoms (fractional coordinates):
Se  0.5000  0.1693  0.6614
Y  0.7576  0.4042  0.6762
Y  0.7576  0.0803  0.3238
Ge  0.0000  0.0000  0.0000
Y  0.7571  0.7578  0.0000
Se  0.0000  0.3336  0.3327
Y  0.2424  0.9197  0.6762
Se  0.0000  0.6664  0.6673
Y  0.2424  0.5958  0.3238
Y  0.2429  0.2422  0.0000
Se  0.5000  0.5000  0.0000
Se  0.5000  0.8307  0.3386


Number 1: volume 164.4 Å³ per cell. Number 2: volume 650.6 Å³ per cell. Number 3: volume 294.4 Å³ per cell.